Record 1
Material: GaAuSO
Method: DFT, PBE-GGA
State: relaxed

Unit cell a=7.9933 b=6.8012 c=5.8176 alpha=90.00 beta=90.00 gamma=90.00
With the nearest neighbours (Å) after each atom.
Atoms (fractional coordinates):
1 Ga 0.2412 0.2500 0.0000  2 O 1.89
2 Ga 0.2412 0.2500 0.5000  2 O 1.89
3 Ga 0.7588 0.7500 0.0000  2 O 1.89
4 Ga 0.7588 0.7500 0.5000  2 O 1.89
5 Au 0.3831 0.6044 0.2500  1 O 2.09, 1 S 2.31
6 Au 0.3831 0.8956 0.7500  1 O 2.09, 1 S 2.31
7 Au 0.6169 0.1044 0.2500  1 O 2.09, 1 S 2.31
8 Au 0.6169 0.3956 0.7500  1 O 2.09, 1 S 2.31
9 S 0.1150 0.0236 0.7500  1 Au 2.31, 2 Ga 2.35
10 S 0.1150 0.4764 0.2500  1 Au 2.31, 2 Ga 2.35
11 S 0.8850 0.5236 0.7500  1 Au 2.31, 2 Ga 2.35
12 S 0.8850 0.9764 0.2500  1 Au 2.31, 2 Ga 2.35
13 O 0.3566 0.1370 0.2500  2 Ga 1.89, 1 Au 2.09
14 O 0.3566 0.3630 0.7500  2 Ga 1.89, 1 Au 2.09
15 O 0.6434 0.6370 0.2500  2 Ga 1.89, 1 Au 2.09
16 O 0.6434 0.8630 0.7500  2 Ga 1.89, 1 Au 2.09

- E_tot (eV per atom) = -4.5161
- energy above the most stable polymorph in this dataset (eV per atom) = 0.127
- symmetry = Pbcm (57)

***

Record 2
Material: GaAuSO
Method: DFT, PBE-GGA
State: relaxed

Unit cell a=3.6106 b=6.7844 c=5.8423 alpha=90.00 beta=90.00 gamma=90.00
With the nearest neighbours (Å) after each atom.
Atoms (fractional coordinates):
1 Ga 0.0000 0.1270 0.0000  2 O 1.86
2 Ga 0.0000 0.8730 0.5000  2 O 1.86
3 Au 0.5000 0.3179 0.5101  2 S 2.40-2.50, 2 O 2.56
4 Au 0.5000 0.6821 0.0101  2 S 2.40-2.50, 2 O 2.56
5 S 0.5000 0.3223 0.0986  2 Ga 2.31, 2 Au 2.40-2.50
6 S 0.5000 0.6777 0.5986  2 Ga 2.31, 2 Au 2.40-2.50
7 O 0.0000 0.0966 0.6834  2 Ga 1.86
8 O 0.0000 0.9034 0.1834  2 Ga 1.86

- E_tot (eV per atom) = -4.4633
- energy above the most stable polymorph in this dataset (eV per atom) = 0.180
- symmetry = Pmc2_1 (26)

***

Record 3
Material: GaAuSO
Method: DFT, PBE-GGA
State: relaxed

Unit cell a=3.7468 b=3.7468 c=8.9634 alpha=90.00 beta=90.00 gamma=90.00
With the nearest neighbours (Å) after each atom.
Atoms (fractional coordinates):
1 Ga 0.2500 0.2500 0.0959  4 O 2.06
2 Ga 0.7500 0.7500 0.9041  4 O 2.06
3 Au 0.2500 0.7500 0.5000  4 Au 2.65, 4 S 2.72
4 Au 0.7500 0.2500 0.5000  4 Au 2.65, 4 S 2.72
5 S 0.2500 0.2500 0.7198  4 Au 2.72
6 S 0.7500 0.7500 0.2802  4 Au 2.72
7 O 0.2500 0.7500 0.0000  4 Ga 2.06
8 O 0.7500 0.2500 0.0000  4 Ga 2.06

- E_tot (eV per atom) = -4.1565
- energy above the most stable polymorph in this dataset (eV per atom) = 0.487
- symmetry = P4/nmm (129)

***

Question: What is the E_tot in the second record?
Answer: -4.4633 eV per atom

***

Question: Number 3 is which compound?
Answer: GaAuSO

***

Question: Which value of energy above the most stable polymorph in this dataset does entry 2 give?
Answer: 0.180 eV per atom

***

Question: Among the records above, which one has the highest E_tot?
Answer: number 3